No. 1
Here is a relaxed structure of AsIrPb from Alexandria. Energies are from PBEsol.

Summary:
As for the magnetization: 0.0 μB/cell. For the density of states at the Fermi level, the calculation gives 1.97 states/eV/f.u. Its energy relative to the lowest polymorph listed for this composition is 19.88 kcal/mol of atoms. Its formation enthalpy at 0 K is 0.938 eV per atom.

Cell: 4.5515 4.5515 4.5515 Å, 60.00 60.00 60.00°
Closest atoms and distances in Å follow each position.
Element x y z (fractional)
Pb1 0.7500 0.7500 0.7500  4 As 2.79, 4 Ir 2.79
Ir1 0.5000 0.5000 0.5000  4 Pb 2.79
As1 0.0000 0.0000 0.0000  4 Pb 2.79

***

No. 2
Here is a relaxed structure of AsIrPb2 from Alexandria. Energies are from PBEsol.

Summary:
As for the magnetization: 0.0 μB/cell. For the density of states at the Fermi level, the calculation gives 2.61 states/eV/f.u. Its energy relative to the lowest polymorph listed for this composition is 0.00 kcal/mol of atoms. Its formation enthalpy at 0 K is 0.510 eV per atom.

Cell: 3.9275 4.6570 4.6570 Å, 90.00 90.00 90.00°
Closest atoms and distances in Å follow each position.
Element x y z (fractional)
Pb1 0.0000 0.5000 0.0000  4 As 3.05, 4 Ir 3.05, 4 Pb 3.29
Pb2 0.0000 0.0000 0.5000  4 As 3.05, 4 Ir 3.05, 4 Pb 3.29
As1 0.5000 0.5000 0.5000  8 Pb 3.05, 4 Ir 3.29
Ir1 0.5000 0.0000 0.0000  8 Pb 3.05, 4 As 3.29

***

No. 3
Here is a relaxed structure of AsIrPb2 from Alexandria. Energies are from PBEsol.

Summary:
As for the magnetization: 0.0 μB/cell. For the density of states at the Fermi level, the calculation gives 3.49 states/eV/f.u. Its energy relative to the lowest polymorph listed for this composition is 0.47 kcal/mol of atoms. Its formation enthalpy at 0 K is 0.531 eV per atom.

Cell: 4.9235 4.9235 4.9235 Å, 60.00 60.00 60.00°
Closest atoms and distances in Å follow each position.
Element x y z (fractional)
Pb1 0.2500 0.2500 0.2500  4 As 3.02, 4 Ir 3.02
Ir1 0.5000 0.5000 0.5000  8 Pb 3.02
As1 0.0000 0.0000 0.0000  8 Pb 3.02
Pb2 0.7500 0.7500 0.7500  4 Ir 3.02, 4 As 3.02

***

No. 4
Here is a relaxed structure of As4IrPb from Alexandria. Energies are from PBEsol.

Summary:
As for the magnetization: 0.0 μB/cell. For the density of states at the Fermi level, the calculation gives 5.22 states/eV/f.u. Its formation enthalpy at 0 K is 0.739 eV per atom.

Cell: 5.4918 5.4918 5.4918 Å, 60.00 60.00 60.00°
Closest atoms and distances in Å follow each position.
Element x y z (fractional)
As1 0.3751 0.3751 0.3751  6 As 2.74-2.75
As2 0.3751 0.8748 0.3751  6 As 2.74-2.75
Ir1 0.7500 0.7500 0.7500  12 As 3.22, 4 Pb 3.36
As3 0.8748 0.3751 0.3751  6 As 2.74-2.75
As4 0.3751 0.3751 0.8748  6 As 2.74-2.75
Pb1 0.0000 0.0000 0.0000  12 As 3.22, 4 Ir 3.36

***

No. 5
Here is a relaxed structure of AsIrPb from Alexandria. Energies are from PBEsol.

Summary:
As for the magnetization: 0.0 μB/cell. For the density of states at the Fermi level, the calculation gives 1.79 states/eV/f.u. Its energy relative to the lowest polymorph listed for this composition is 0.00 kcal/mol of atoms. Its formation enthalpy at 0 K is 0.076 eV per atom.

Cell: 3.0060 3.2471 6.6489 Å, 104.13 103.06 90.00°
Closest atoms and distances in Å follow each position.
Element x y z (fractional)
Ir1 0.6419 0.6419 0.2837  4 As 2.54
Pb1 0.3150 0.3150 0.6300  4 Pb 3.01-3.25, 4 Ir 3.10
As1 0.0432 0.0432 0.0863  4 Ir 2.54

***

No. 6
Here is a relaxed structure of As2Ir2Pd from Alexandria. Energies are from PBEsol.

Summary:
As for the magnetization: 0.0 μB/cell. For the density of states at the Fermi level, the calculation gives 2.06 states/eV/f.u. Its formation enthalpy at 0 K is 0.142 eV per atom.

Cell: 3.8449 3.8449 6.1848 Å, 108.11 108.11 90.00°
Closest atoms and distances in Å follow each position.
Element x y z (fractional)
Ir1 0.3858 0.3858 0.7715  4 As 2.44, 1 Ir 2.54
As1 0.2500 0.7500 0.5000  4 Ir 2.44, 4 As 2.72
Ir2 0.6142 0.6142 0.2285  4 As 2.44, 1 Ir 2.54
As2 0.7500 0.2500 0.5000  4 Ir 2.44, 4 As 2.72
Pd1 0.0000 0.0000 0.0000  8 Ir 3.00

***

No. 7
Here is a relaxed structure of AsIr2Pt from Alexandria. Energies are from PBEsol.

Summary:
As for the magnetization: 0.0 μB/cell. For the density of states at the Fermi level, the calculation gives 5.81 states/eV/f.u. Its formation enthalpy at 0 K is 0.398 eV per atom.

Cell: 4.3951 4.3951 4.3951 Å, 60.00 60.00 60.00°
Closest atoms and distances in Å follow each position.
Element x y z (fractional)
Ir1 0.0000 0.0000 0.0000  4 Ir 2.69, 4 Pt 2.69
Ir2 0.7500 0.7500 0.7500  4 As 2.69, 4 Ir 2.69
Pt1 0.2500 0.2500 0.2500  4 Ir 2.69, 4 As 2.69
As1 0.5000 0.5000 0.5000  4 Pt 2.69, 4 Ir 2.69

***

No. 8
Here is a relaxed structure of AsIr2Pt from Alexandria. Energies are from PBEsol.

Summary:
As for the magnetization: 0.0 μB/cell. For the density of states at the Fermi level, the calculation gives 5.20 states/eV/f.u. Its formation enthalpy at 0 K is 0.262 eV per atom.

Cell: 4.0602 4.5881 4.0602 Å, 63.74 90.00 116.26°
Closest atoms and distances in Å follow each position.
Element x y z (fractional)
Ir1 0.7500 0.5000 0.7500  4 As 2.71, 4 Pt 2.71, 4 Ir 2.87
Ir2 0.2500 0.5000 0.2500  4 As 2.71, 4 Pt 2.71, 4 Ir 2.87
Pt1 0.5000 0.0000 0.5000  8 Ir 2.71, 4 As 2.87
As1 0.0000 0.0000 0.0000  8 Ir 2.71, 4 Pt 2.87

***

No. 9
Here is a relaxed structure of AsIrPt from Alexandria. Energies are from PBEsol.

Summary:
As for the magnetization: 0.0 μB/cell. For the density of states at the Fermi level, the calculation gives 2.32 states/eV/f.u. Its energy relative to the lowest polymorph listed for this composition is 2.85 kcal/mol of atoms. Its formation enthalpy at 0 K is 0.105 eV per atom.

Cell: 2.8930 2.8930 6.2347 Å, 90.00 90.00 120.00°
Closest atoms and distances in Å follow each position.
Element x y z (fractional)
As1 0.0000 0.0000 0.9904  3 Ir 2.52, 3 Pt 2.66
Ir1 0.6667 0.3333 0.6879  3 As 2.52
Pt1 0.3333 0.6667 0.3216  3 As 2.66, 3 Ir 2.83, 6 Pt 2.89

***

No. 10
Here is a relaxed structure of AsIr2Pt from Alexandria. Energies are from PBEsol.

Summary:
As for the magnetization: 0.0 μB/cell. For the density of states at the Fermi level, the calculation gives 4.64 states/eV/f.u. Its formation enthalpy at 0 K is 0.205 eV per atom.

Cell: 2.8506 2.8506 7.1751 Å, 90.00 90.00 90.00°
Closest atoms and distances in Å follow each position.
Element x y z (fractional)
Pt1 0.5000 0.5000 0.0000  8 Ir 2.79, 4 Pt 2.85
As1 0.5000 0.5000 0.5000  8 Ir 2.61, 4 As 2.85
Ir1 0.0000 0.0000 0.2695  4 As 2.61, 4 Pt 2.79, 4 Ir 2.85
Ir2 0.0000 0.0000 0.7305  4 As 2.61, 4 Pt 2.79, 4 Ir 2.85

***

No. 11
Here is a relaxed structure of AsIrPt4 from Alexandria. Energies are from PBEsol.

Summary:
As for the magnetization: 0.0 μB/cell. For the density of states at the Fermi level, the calculation gives 6.21 states/eV/f.u. Its formation enthalpy at 0 K is 0.532 eV per atom.

Cell: 5.1709 5.1709 5.1709 Å, 60.00 60.00 60.00°
Closest atoms and distances in Å follow each position.
Element x y z (fractional)
Pt1 0.6256 0.6256 0.6256  6 Pt 2.57-2.60
Pt2 0.6256 0.6256 0.1233  6 Pt 2.57-2.60
Pt3 0.6256 0.1233 0.6256  6 Pt 2.57-2.60
As1 0.2500 0.2500 0.2500  12 Pt 3.03, 4 Ir 3.17
Ir1 0.0000 0.0000 0.0000  12 Pt 3.03, 4 As 3.17
Pt4 0.1233 0.6256 0.6256  6 Pt 2.57-2.60

***

No. 12
Here is a relaxed structure of AsIr2Pt from Alexandria. Energies are from PBEsol.

Summary:
As for the magnetization: 0.0 μB/cell. For the density of states at the Fermi level, the calculation gives 3.50 states/eV/f.u. Its formation enthalpy at 0 K is 0.222 eV per atom.

Cell: 2.7543 4.6297 5.3680 Å, 115.55 104.87 90.00°
Closest atoms and distances in Å follow each position.
Element x y z (fractional)
As1 0.2586 0.7586 0.5172  6 Ir 2.56-2.70, 2 Pt 2.70, 2 As 2.75
Pt1 0.5083 0.5083 0.0166  6 Ir 2.70-2.83, 2 As 2.70, 2 Pt 2.75
Ir1 0.9909 0.9909 0.9818  2 As 2.56, 4 Pt 2.70, 4 Ir 2.71-2.75
Ir2 0.7422 0.2422 0.4844  4 As 2.70, 4 Ir 2.71-2.75, 2 Pt 2.83